Material: Ta2Re
Method: DFT, PBE
State: relaxed

Geometry as POSCAR:
```
Ta2Re
1.0
5.310 0.000 0.000
0.000 8.668 0.000
-2.655 0.000 4.598
Ta Re
8 4
Direct
0.170 0.250 0.830
0.830 0.750 0.170
0.000 0.500 0.000
0.170 0.250 0.341
0.341 0.750 0.170
0.000 0.000 0.000
0.830 0.750 0.659
0.659 0.250 0.830
0.667 0.041 0.333
0.333 0.959 0.667
0.667 0.459 0.333
0.333 0.541 0.667
```

Output
- SG: No. 194
- Uncorrected energy: -34.6 eV/f.u.